The following is a PBE-GGA calculation of CrTeOs after structural relaxation, from Alexandria.

Its energy above the most stable polymorph in this dataset is 0.296 eV/atom. The calculated total energy comes out at -7.66 eV/atom. The value obtained for the formation energy from raw total energies is 0.336 eV per atom. As for the crystal system: cubic. Its space group is No. 216. The calculation puts the total moment at 0.664 μB/atom. The calculation puts the density of states at the Fermi level at 2.73 states/eV/f.u.

abc: 4.310 4.310 4.310
angles: 60.00 60.00 60.00
Element x y z (fractional)
Cr 0.000 0.000 0.000
Te 0.500 0.500 0.500
Os 0.250 0.250 0.250